VSCl2F PBE+U optimized geometry; excess energy over the best structure of this formula in the dataset = 0.0 meV per atom
1.0
-4.390 0.968 1.237
0.826 -1.702 4.262
1.284 4.067 1.376
F V Cl S
1 1 2 1
Cartesian
-1.140 1.667 3.437
0.000 0.000 0.000
0.413 -0.851 2.131
-2.195 0.484 0.619
0.642 2.034 0.688